1.
CeNdZnRu | GGA-PBE | relaxed

extended XYZ file:
```
4
Lattice="5.0338 0.0000 0.0000 2.5169 4.3594 0.0000 2.5169 1.4531 4.1101" Properties=species:S:1:pos:R:3 pbc="T T T"
Nd 7.5507 4.3594 3.0825
Zn 5.0338 2.9063 2.0550
Ru 0.0000 0.0000 0.0000
Ce 2.5169 1.4531 1.0275
```

Computed properties:
DFT total energy = -22.12 eV per cell



2.
Mg3CdPd6 | GGA-PBE | relaxed

extended XYZ file:
```
20
Lattice="-2.7471 -2.1791 2.3925 6.0438 -1.5006 5.5728 -3.0781 7.8616 3.6258" Properties=species:S:1:pos:R:3 pbc="T T T"
Cd 3.1509 2.8059 8.0563
Mg -0.6508 -1.8242 3.2399
Pd 3.3406 -2.3036 7.3861
Mg 0.8694 6.0061 8.3513
Pd 1.7877 -0.4333 3.5408
Pd 0.9960 3.9485 6.6226
Pd 0.8863 1.1171 7.6835
Pd -1.5691 4.6153 8.0503
Mg 1.2926 -1.1128 6.1192
Cd -2.9324 1.3761 3.5349
Pd -0.7775 0.2335 4.9685
Pd -3.1220 6.4856 4.2050
Pd 3.5072 0.4432 6.3134
Mg -1.2038 2.4313 6.4807
Pd -0.6677 3.0649 3.9076
Mg 1.4224 1.7507 5.1105
Mg -1.0740 5.2947 5.4720
Pd -3.2886 3.7388 5.2778
Pd -0.3684 0.8191 2.2059
Pd 0.5870 3.3628 9.3853
```

Computed properties:
Offset from the most stable computed form = 0.000 eV per atom



3.
Sr2TlP | GGA-PBE | relaxed

extended XYZ file:
```
4
Lattice="-2.2971 2.2971 5.7895 2.2971 -2.2971 5.7895 2.2971 2.2971 -5.7895" Properties=species:S:1:pos:R:3 pbc="T T T"
Tl 0.0000 0.0000 5.7895
Sr 0.0000 0.0000 0.0000
P 0.0000 2.2971 2.8947
Sr 2.2971 0.0000 2.8947
```

Computed properties:
Offset from the most stable computed form = 0.251 eV per atom